A relaxed structure of TbPmYSn, computed with GGA-PBE.

Values from the calculation:
Space group ... F-43m
Energy of formation from the pure elements ... -0.2319 eV/atom
Mass density ... 7.40 g/cm3
Electronic total energy ... -0.3817 Ry/atom
Total magnetization ... 0.6 μB/f.u.

Geometry as CIF:
```
data_TbPmYSn
_symmetry_space_group_name_H-M 'P 1'
_symmetry_Int_Tables_number 1
_cell_length_a 5.455
_cell_length_b 5.455
_cell_length_c 5.455
_cell_angle_alpha 60.00
_cell_angle_beta 60.00
_cell_angle_gamma 60.00
loop_
_symmetry_equiv_pos_as_xyz
'x,y,z'
loop_
_atom_site_label
_atom_site_fract_x
_atom_site_fract_y
_atom_site_fract_z
_atom_site_occupancy
Tb1 0.750 0.750 0.750 1
Y1 0.250 0.250 0.250 1
Pm1 0.000 0.000 0.000 1
Sn1 0.500 0.500 0.500 1
```